Compound: BaLiAs2
Source: Alexandria via LeMat-Bulk
Functional: PBE
Structure: relaxed

```
BaLiAs2
1.0
5.6178 -0.0037 -0.0070
1.5356 5.4039 0.0070
-3.5719 -2.7064 3.3877
As Li Ba
2 1 1
direct
0.0001 0.0001 0.0000
0.4999 0.4999 0.0000
0.2500 0.7500 0.5000
0.7500 0.2500 0.5000
```

Properties
The total moment comes out at 0.00 Bohr magnetons per cell. For the final energy, the calculation gives -3.743 eV per atom.

Compound: Ba3Li7As4
Source: Alexandria via LeMat-Bulk
Functional: PBE
Structure: relaxed

```
Ba3Li7As4
1.0
-1.7144 2.5516 3.5099
-0.5066 -5.7925 7.0647
6.7336 0.7381 5.8535
Li Ba As
7 3 4
direct
0.3261 0.8275 0.5202
0.5033 0.2142 0.7793
0.1792 0.5729 0.0686
0.0000 0.0000 0.0000
0.6739 0.1725 0.4798
0.8208 0.4271 0.9314
0.4967 0.7858 0.2207
0.7018 0.8074 0.7890
0.2982 0.1926 0.2110
0.0000 0.5000 0.5000
0.8792 0.9098 0.3318
0.6493 0.4848 0.2165
0.3507 0.5152 0.7835
0.1208 0.0902 0.6682
```

Properties
The total moment comes out at 0.60 Bohr magnetons per cell. For the final energy, the calculation gives -3.472 eV per atom.

Compound: BaLiAs2
Source: Alexandria via LeMat-Bulk
Functional: PBE
Structure: relaxed

```
BaLiAs2
1.0
0.0000 3.7489 3.7489
3.7489 0.0000 3.7489
3.7489 3.7489 0.0000
As Ba Li
2 1 1
direct
0.2500 0.2500 0.2500
0.7500 0.7500 0.7500
0.5000 0.5000 0.5000
0.0000 0.0000 0.0000
```

Properties
The total moment comes out at 0.00 Bohr magnetons per cell. For the final energy, the calculation gives -3.670 eV per atom.